# InRu2

A relaxed structure of InRu2 (GGA-PBE, Alexandria via LeMat-Bulk).

Structure (POSCAR):
```
InRu2
1.0
5.206 -1.437 0.000
5.206 1.437 0.000
-1.872 0.000 6.428
In Ru
2 4
direct
0.017 0.017 0.289
0.983 0.983 0.711
0.293 0.293 0.360
0.345 0.345 0.963
0.655 0.655 0.037
0.707 0.707 0.640
```

Properties
E, eV per cell: -41.74
ΔE_f, meV/atom: 140